Density functional theory data (GGA-PBE) for a relaxed structure of CsLi2AcSb2.

```
CsLi2AcSb2
1.0
-1.277 -3.687 2.923
0.341 -0.709 -4.811
9.598 -2.493 1.047
Cs Li Ac Sb
1 2 1 2
Direct
0.000 0.000 0.000
0.333 0.667 0.720
0.667 0.333 0.280
0.000 0.000 0.500
0.333 0.667 0.301
0.667 0.333 0.699
```

Calculated values
space-group type	No. 164
raw total energy	-21.81	eV for the cell shown



Density functional theory data (GGA-PBE) for a relaxed structure of Tb2In2Hg.

```
Tb2In2Hg
1.0
-3.361 -2.119 2.580
1.857 -5.359 2.368
0.980 4.364 9.210
Tb In Hg
4 4 2
Direct
0.684 0.307 0.326
0.922 0.253 0.902
0.316 0.693 0.674
0.078 0.747 0.098
0.082 0.276 0.559
0.652 0.809 0.888
0.918 0.724 0.441
0.348 0.191 0.112
0.602 0.119 0.677
0.398 0.881 0.323
```

Calculated values
formation enthalpy at 0 K	-0.42	eV/atom
space-group type	No. 12
density of states at the Fermi level	3.67	states/eV/f.u.
energy above the most stable polymorph in this dataset	19	meV per atom
raw total energy	-34.33	eV for the cell shown



Density functional theory data (GGA-PBE) for a relaxed structure of Mg3CuC.

```
Mg3CuC
1.0
4.344 0.000 0.000
0.000 4.344 0.000
0.000 0.000 4.344
Mg C Cu
3 1 1
Direct
0.000 0.500 0.000
0.000 0.000 0.500
0.500 0.000 0.000
0.000 0.000 0.000
0.500 0.500 0.500
```

Calculated values
formation enthalpy at 0 K	0.23	eV/atom
space-group type	No. 221
density of states at the Fermi level	2.64	states/eV/f.u.
energy above the most stable polymorph in this dataset	0	meV per atom
raw total energy	-16.96	eV for the cell shown



Density functional theory data (GGA-PBE) for a relaxed structure of Cd2Br2Cl.

```
Cd2Br2Cl
1.0
5.346 0.000 0.000
0.000 5.346 0.000
2.673 2.673 5.286
Cl Br Cd
1 2 2
Direct
0.000 0.000 0.000
0.336 0.336 0.328
0.664 0.664 0.672
0.750 0.250 0.500
0.250 0.750 0.500
```

Calculated values
space-group type	No. 139
density of states at the Fermi level	1.60	states/eV/f.u.
energy above the most stable polymorph in this dataset	250	meV per atom
raw total energy	-9.10	eV for the cell shown



Density functional theory data (GGA-PBE) for a relaxed structure of Na2B2Se7.

```
Na2B2Se7
1.0
-4.607 4.979 0.975
-5.549 -1.579 5.929
3.307 6.052 8.809
Na B Se
4 4 14
Direct
0.107 0.177 0.043
0.327 0.323 0.457
0.893 0.823 0.957
0.673 0.677 0.543
0.398 0.614 0.150
0.163 0.886 0.350
0.602 0.386 0.850
0.837 0.114 0.650
0.476 0.750 0.250
0.524 0.250 0.750
0.559 0.223 0.020
0.801 0.277 0.480
0.441 0.777 0.980
0.199 0.723 0.520
0.622 0.355 0.169
0.145 0.145 0.331
0.378 0.645 0.831
0.855 0.855 0.669
0.090 0.601 0.224
0.915 0.899 0.276
0.910 0.399 0.776
0.085 0.101 0.724
```

Calculated values
space-group type	No. 15
raw total energy	-90.04	eV for the cell shown



Density functional theory data (GGA-PBE) for a relaxed structure of NdSm7Tm3.

```
NdSm7Tm3
1.0
0.430 -4.405 -8.890
-6.415 -3.511 6.719
-6.139 5.465 -3.005
Nd Sm Tm
2 14 6
Direct
0.500 0.500 0.000
0.500 0.500 0.500
0.102 0.766 0.250
0.234 0.898 0.750
0.101 0.400 0.430
0.101 0.400 0.070
0.600 0.899 0.930
0.600 0.899 0.570
0.250 0.250 0.750
0.750 0.750 0.250
0.400 0.101 0.070
0.400 0.101 0.430
0.899 0.600 0.930
0.899 0.600 0.570
0.766 0.102 0.250
0.898 0.234 0.750
0.265 0.598 0.750
0.000 0.000 0.000
0.000 0.000 0.500
0.402 0.735 0.250
0.598 0.265 0.750
0.735 0.402 0.250
```

Calculated values
formation enthalpy at 0 K	0.28	eV/atom
space-group type	No. 63
density of states at the Fermi level	17.76	states/eV/f.u.
energy above the most stable polymorph in this dataset	92	meV per atom
raw total energy	-96.17	eV for the cell shown



Density functional theory data (GGA-PBE) for a relaxed structure of Rb2AgAsBr6.

```
Rb2AgAsBr6
1.0
7.782 0.000 0.000
3.891 6.739 0.000
3.891 2.246 6.354
Rb Ag As Br
2 1 1 6
Direct
0.750 0.750 0.750
0.250 0.250 0.250
0.500 0.500 0.500
0.000 0.000 0.000
0.757 0.243 0.243
0.243 0.243 0.757
0.243 0.757 0.757
0.243 0.757 0.243
0.757 0.243 0.757
0.757 0.757 0.243
```

Calculated values
space-group type	No. 225
energy above the most stable polymorph in this dataset	5	meV per atom
raw total energy	-28.98	eV for the cell shown



Density functional theory data (GGA-PBE) for a relaxed structure of CaZrIr2.

```
CaZrIr2
1.0
-3.438 1.853 2.571
-1.790 -2.403 3.590
0.844 1.377 4.388
Ca Ir Zr
1 2 1
Direct
0.500 0.500 0.500
0.000 0.000 0.000
0.250 0.250 0.250
0.750 0.750 0.750
```

Calculated values
formation enthalpy at 0 K	-0.04	eV/atom
space-group type	No. 216
density of states at the Fermi level	5.83	states/eV/f.u.
raw total energy	-28.43	eV for the cell shown



Density functional theory data (GGA-PBE) for a relaxed structure of La5SmDy3.

```
La5SmDy3
1.0
6.586 0.000 0.000
-3.293 10.261 -4.921
0.000 -3.025 11.105
La Sm Dy
10 2 6
Direct
0.404 0.000 0.750
0.652 0.658 0.019
0.865 0.336 0.123
0.348 0.342 0.981
0.529 0.664 0.377
0.596 0.000 0.250
0.006 0.658 0.519
0.994 0.342 0.481
0.471 0.336 0.623
0.135 0.664 0.877
0.866 0.000 0.750
0.134 0.000 0.250
0.000 0.000 0.000
0.450 0.320 0.306
0.000 0.000 0.500
0.550 0.680 0.694
0.870 0.320 0.806
0.130 0.680 0.194
```

Calculated values
formation enthalpy at 0 K	0.24	eV/atom
space-group type	No. 15
density of states at the Fermi level	14.09	states/eV/f.u.
energy above the most stable polymorph in this dataset	0	meV per atom
raw total energy	-81.98	eV for the cell shown



Density functional theory data (GGA-PBE) for a relaxed structure of DyY4AgS8.

```
DyY4AgS8
1.0
8.037 0.000 0.000
4.018 6.960 0.000
4.018 2.320 6.559
Dy Y Ag S
1 4 1 8
Direct
0.004 0.004 0.987
0.625 0.625 0.125
0.004 0.487 0.504
0.487 0.004 0.504
0.004 0.004 0.504
0.375 0.375 0.875
0.242 0.773 0.743
0.773 0.242 0.743
0.242 0.242 0.743
0.242 0.242 0.273
0.759 0.224 0.258
0.224 0.759 0.258
0.759 0.759 0.258
0.758 0.758 0.725
```

Calculated values
space-group type	No. 160
density of states at the Fermi level	0.00	states/eV/f.u.
raw total energy	-92.00	eV for the cell shown



Density functional theory data (GGA-PBE) for a relaxed structure of Na6Tl2Sn3.

```
Na6Tl2Sn3
1.0
6.167 0.000 0.000
0.000 6.167 0.000
-3.083 -3.083 10.357
Na Tl Sn
6 2 3
Direct
0.091 0.591 0.182
0.591 0.091 0.182
0.909 0.409 0.818
0.409 0.909 0.818
0.717 0.717 0.435
0.283 0.283 0.565
0.430 0.430 0.860
0.570 0.570 0.140
0.000 0.000 0.000
0.866 0.866 0.732
0.134 0.134 0.268
```

Calculated values
formation enthalpy at 0 K	0.04	eV/atom
space-group type	No. 139
density of states at the Fermi level	3.27	states/eV/f.u.
raw total energy	-24.19	eV for the cell shown



Density functional theory data (GGA-PBE) for a relaxed structure of LaTe2Pd.

```
LaTe2Pd
1.0
-6.233 -1.697 6.996
-2.753 -1.585 8.977
-4.668 1.822 8.097
Te Pd La
2 1 1
Direct
0.886 0.886 0.886
0.114 0.114 0.114
0.500 0.500 0.500
0.000 0.000 0.000
```

Calculated values
space-group type	No. 166
density of states at the Fermi level	3.75	states/eV/f.u.
energy above the most stable polymorph in this dataset	486	meV per atom
raw total energy	-17.62	eV for the cell shown



Density functional theory data (GGA-PBE) for a relaxed structure of MnNiTe2I.

```
MnNiTe2I
1.0
-3.552 -2.976 -2.078
2.904 -0.587 -4.125
2.275 -4.257 2.207
I Ni Te Mn
1 1 2 1
Direct
0.000 0.000 0.500
0.000 0.000 0.000
0.000 0.500 0.000
0.500 0.000 0.000
0.500 0.500 0.500
```

Calculated values
space-group type	No. 123
density of states at the Fermi level	5.05	states/eV/f.u.
energy above the most stable polymorph in this dataset	0	meV per atom
raw total energy	-20.27	eV for the cell shown



Density functional theory data (GGA-PBE) for a relaxed structure of TcNiRuW.

```
TcNiRuW
1.0
-1.858 3.244 -0.084
-3.124 -1.822 -1.275
-1.157 -0.567 3.645
Tc Ni Ru W
1 1 1 1
Direct
0.000 0.500 0.500
0.500 0.500 0.000
0.000 0.000 0.000
0.500 0.000 0.500
```

Calculated values
formation enthalpy at 0 K	-0.03	eV/atom
space-group type	No. 47
density of states at the Fermi level	3.60	states/eV/f.u.
energy above the most stable polymorph in this dataset	0	meV per atom
raw total energy	-38.50	eV for the cell shown